# meta-GGA SCAN K2NaRhAu, PBEsol geometry
# - Calculated formation energy: 0.6955 eV per atom
# - Volume: 32.8 A^3/atom
# - DOS(E_F): 1.1 states/eV/f.u.
# - Size of the total moment: 1.1 μB per formula unit
data_K2NaRhAu
_symmetry_space_group_name_H-M 'P 4/m m m'
_symmetry_Int_Tables_number 123
_symmetry_space_group_name_Hall '-P 4 2'
_cell_length_a 5.811
_cell_length_b 5.811
_cell_length_c 4.863
_cell_angle_alpha 90.00
_cell_angle_beta 90.00
_cell_angle_gamma 90.00
loop_
_atom_site_label
_atom_site_type_symbol
_atom_site_fract_x
_atom_site_fract_y
_atom_site_fract_z
K1 K 0.000 0.500 0.000
Na1 Na 0.000 0.000 0.000
Rh1 Rh 0.000 0.000 0.500
Au1 Au 0.500 0.500 0.500